Record 1
The following is a PBE calculation of a relaxed structure of Sr8AsN4, from Alexandria via LeMat-Bulk.

abc: 13.4363 7.7244 9.7961
angles: 90.00 131.30 90.00
Space group C2/m (No. 12)
Inequivalent atoms, fractional coordinates:
1 Sr 0.0052 0.0000 0.3270
2 Sr 0.0099 0.5000 0.6903
3 Sr 0.2397 0.2399 0.3106
4 As 0.0000 0.0000 0.0000
5 N 0.0000 0.2568 0.5000
6 N 0.2318 0.5000 0.4656

Output
total DFT energy (no corrections): -119.8 eV/cell
ΔE_f (raw): -652.2 meV per atom
energy above the lowest structure with this stoichiometry: 0.00 eV per formula unit
ρ: 3.62 g cm⁻³

Record 2
The following is a PBE calculation of a relaxed structure of Sr2AsN4, from Alexandria via LeMat-Bulk.

abc: 4.0016 4.0016 12.6553
angles: 90.00 90.00 90.00
Space group I4/mmm (No. 139)
Inequivalent atoms, fractional coordinates:
1 Sr 0.0000 0.0000 0.1447
2 As 0.0000 0.0000 0.5000
3 N 0.0000 0.0000 0.3519
4 N 0.0000 0.5000 0.0000

Output
total DFT energy (no corrections): -79.5 eV/cell
ΔE_f (raw): 225.1 meV per atom
ρ: 5.02 g cm⁻³

Record 3
The following is a PBE calculation of a relaxed structure of Sr3AsN, from Alexandria via LeMat-Bulk.

abc: 10.4067 15.1479 6.9549
angles: 90.00 90.00 90.00
Space group Cmce (No. 64)
Inequivalent atoms, fractional coordinates:
1 Sr 0.0000 0.1222 0.2492
2 Sr 0.2505 0.0000 0.0000
3 Sr 0.2500 0.2085 0.7500
4 As 0.0000 0.0948 0.7500
5 N 0.2500 0.1311 0.2500

Output
total DFT energy (no corrections): -175.5 eV/cell
ΔE_f (raw): -784.6 meV per atom
energy above the lowest structure with this stoichiometry: 0.61 eV per formula unit
ρ: 4.26 g cm⁻³

- What is the ρ in the third record?
  4.26 g cm⁻³